1.
Entry from Alexandria: a geometry-optimized TbPr6Ho2Sc structure (PBE-GGA).

The structure in POSCAR format:
```
TbPr6Ho2Sc
1.0
5.146 -3.796 0.000
5.146 3.796 0.000
-1.923 0.000 8.814
Tb Pr Ho Sc
1 6 2 1
direct
0.000 0.000 0.000
0.151 0.586 0.217
0.159 0.159 0.445
0.414 0.849 0.783
0.586 0.151 0.217
0.841 0.841 0.555
0.849 0.414 0.783
0.369 0.369 0.862
0.631 0.631 0.138
0.500 0.500 0.500
```

Results
* formation energy: 2.15 eV/f.u.
* electronic total energy: -46.6 eV per cell

---

2.
Entry from Alexandria: a geometry-optimized Tb2Pr6Ho3Sc structure (PBE-GGA).

The structure in POSCAR format:
```
Tb2Pr6Ho3Sc
1.0
3.135 -5.430 0.000
3.135 5.430 0.000
-2.088 0.000 11.610
Tb Pr Ho Sc
2 6 3 1
direct
0.167 0.833 0.000
0.833 0.167 0.000
0.087 0.418 0.752
0.252 0.252 0.249
0.418 0.087 0.752
0.582 0.913 0.248
0.748 0.748 0.751
0.913 0.582 0.248
0.000 0.000 0.500
0.333 0.667 0.500
0.667 0.333 0.500
0.500 0.500 0.000
```

Results
* formation energy: 0.29 eV/f.u.
* electronic total energy: -57.7 eV per cell

---

3.
Entry from Alexandria: a geometry-optimized TbPr5Ho2Sc structure (PBE-GGA).

The structure in POSCAR format:
```
TbPr5Ho2Sc
1.0
2.704 -10.979 0.000
2.704 10.979 0.000
0.000 0.000 10.326
Tb Pr Ho Sc
2 10 4 2
direct
0.102 0.898 0.500
0.898 0.102 0.000
0.000 0.000 0.250
0.000 0.000 0.750
0.127 0.873 0.000
0.221 0.779 0.688
0.222 0.778 0.313
0.499 0.501 0.500
0.501 0.499 0.000
0.778 0.222 0.813
0.779 0.221 0.188
0.873 0.127 0.500
0.384 0.616 0.753
0.385 0.615 0.247
0.615 0.385 0.747
0.616 0.384 0.253
0.288 0.712 0.001
0.712 0.288 0.501
```

Results
* formation energy: 1.12 eV/f.u.
* electronic total energy: -85.8 eV per cell

---

4.
Entry from Alexandria: a geometry-optimized Tb2Pr4HoSc structure (PBE-GGA).

The structure in POSCAR format:
```
Tb2Pr4HoSc
1.0
5.131 0.000 0.000
0.000 5.146 0.000
0.000 0.000 9.947
Tb Pr Ho Sc
2 4 1 1
direct
0.000 0.000 0.000
0.500 0.500 0.500
0.000 0.500 0.245
0.000 0.500 0.755
0.500 0.000 0.245
0.500 0.000 0.755
0.000 0.000 0.500
0.500 0.500 0.000
```

Results
* formation energy: 0.23 eV/f.u.
* electronic total energy: -39.1 eV per cell

---

5.
Entry from Alexandria: a geometry-optimized TbPr4Ho2Sc structure (PBE-GGA).

The structure in POSCAR format:
```
TbPr4Ho2Sc
1.0
5.135 0.000 0.000
0.000 5.135 0.000
0.000 0.000 9.925
Tb Pr Ho Sc
1 4 2 1
direct
0.000 0.000 0.000
0.000 0.500 0.255
0.000 0.500 0.745
0.500 0.000 0.255
0.500 0.000 0.745
0.000 0.000 0.500
0.500 0.500 0.000
0.500 0.500 0.500
```

Results
* formation energy: 0.23 eV/f.u.
* electronic total energy: -39.0 eV per cell

---

6.
Entry from Alexandria: a geometry-optimized Tb2PrHo5Sc structure (PBE-GGA).

The structure in POSCAR format:
```
Tb2PrHo5Sc
1.0
2.785 -9.840 0.000
2.785 9.840 0.000
0.000 0.000 10.372
Tb Pr Ho Sc
4 2 10 2
direct
0.112 0.888 0.500
0.114 0.886 0.919
0.886 0.114 0.419
0.888 0.112 0.000
0.414 0.586 0.639
0.586 0.414 0.139
0.018 0.982 0.205
0.277 0.723 0.507
0.297 0.703 0.891
0.376 0.624 0.205
0.481 0.519 0.924
0.519 0.481 0.424
0.624 0.376 0.705
0.703 0.297 0.391
0.723 0.277 0.007
0.982 0.018 0.705
0.197 0.803 0.199
0.803 0.197 0.699
```

Results
* formation energy: 1.55 eV/f.u.
* electronic total energy: -83.4 eV per cell